CaTaRe PBE relaxed; energy relative to the elements = 0.8302 eV per atom; energy above the most stable polymorph in this dataset = 528.9 meV/atom; calculated density = 10.126 g/cm3; total energy = -7.94 eV per atom; space-group type = F-43m (216)
1.0
0.000 3.220 3.220
3.220 0.000 3.220
3.220 3.220 0.000
Ca Ta Re
1 1 1
Direct
0.000 0.000 0.000 Ca
0.500 0.500 0.500 Ta
0.250 0.250 0.250 Re

***

CaTaRe2 PBE relaxed; energy relative to the elements = 0.3329 eV per atom; energy above the most stable polymorph in this dataset = 0.0 meV/atom; calculated density = 13.829 g/cm3; total energy = -9.35 eV per atom; space-group type = Cmmm (65)
1.0
1.631 -2.300 0.000
1.631 2.300 0.000
0.000 0.000 9.502
Ca Ta Re
1 1 2
Direct
0.000 0.000 0.000 Ca
0.000 0.000 0.500 Ta
0.500 0.500 0.272 Re
0.500 0.500 0.728 Re

***

CaTaRe3 PBE relaxed; energy relative to the elements = 1.7315 eV per atom; energy above the most stable polymorph in this dataset = 0.0 meV/atom; calculated density = 11.281 g/cm3; total energy = -8.51 eV per atom; space-group type = Pm-3m (221)
1.0
4.860 0.000 0.000
0.000 4.860 0.000
0.000 0.000 4.860
Ca Ta Re
1 1 3
Direct
0.000 0.000 0.000 Ca
0.500 0.500 0.500 Ta
0.000 0.500 0.500 Re
0.500 0.000 0.500 Re
0.500 0.500 0.000 Re

***

CaTaRe2 PBE relaxed; energy relative to the elements = 0.5212 eV per atom; energy above the most stable polymorph in this dataset = 188.3 meV/atom; calculated density = 13.247 g/cm3; total energy = -9.17 eV per atom; space-group type = R-3m (166)
1.0
1.534 0.886 9.127
-1.534 0.886 9.127
0.000 -1.771 9.127
Ca Ta Re
1 1 2
Direct
0.000 0.000 0.000 Ca
0.500 0.500 0.500 Ta
0.240 0.240 0.240 Re
0.760 0.760 0.760 Re

***

CaTaRe2 PBE relaxed; energy relative to the elements = 0.5423 eV per atom; energy above the most stable polymorph in this dataset = 209.4 meV/atom; calculated density = 14.080 g/cm3; total energy = -9.15 eV per atom; space-group type = C2/m (12)
1.0
2.948 -4.613 0.000
2.948 4.613 0.000
-0.867 0.000 2.573
Ca Ta Re
1 1 2
Direct
0.000 0.000 0.000 Ca
0.500 0.500 0.000 Ta
0.000 0.500 0.500 Re
0.500 0.000 0.500 Re

***

CaTaRe2 PBE relaxed; energy relative to the elements = 0.6528 eV per atom; energy above the most stable polymorph in this dataset = 319.9 meV/atom; calculated density = 13.684 g/cm3; total energy = -9.03 eV per atom; space-group type = Cmmm (65)
1.0
3.123 -4.350 0.000
3.123 4.350 0.000
0.000 0.000 2.650
Ca Ta Re
1 1 2
Direct
0.000 0.000 0.000 Ca
0.500 0.500 0.000 Ta
0.000 0.500 0.500 Re
0.500 0.000 0.500 Re

***

CaTaRe2 PBE relaxed; energy relative to the elements = 0.4956 eV per atom; energy above the most stable polymorph in this dataset = 162.7 meV/atom; calculated density = 11.930 g/cm3; total energy = -9.19 eV per atom; space-group type = Pmm2 (25)
1.0
2.955 0.000 0.000
0.000 3.842 0.000
0.000 0.000 7.276
Ca Ta Re
1 1 2
Direct
0.000 0.000 0.000 Ca
0.500 0.500 0.656 Ta
0.000 0.000 0.464 Re
0.500 0.500 0.311 Re

***

CaTaRe2 PBE relaxed; energy relative to the elements = 0.3865 eV per atom; energy above the most stable polymorph in this dataset = 53.6 meV/atom; calculated density = 12.789 g/cm3; total energy = -9.30 eV per atom; space-group type = P4/mmm (123)
1.0
3.306 0.000 0.000
0.000 3.306 0.000
0.000 0.000 7.049
Ca Ta Re
1 1 2
Direct
0.000 0.000 0.000 Ca
0.000 0.000 0.500 Ta
0.500 0.500 0.305 Re
0.500 0.500 0.695 Re